[1]
# La2Dy5Tm12 | the Alexandria database | PBE | optimized geometry
# * formation enthalpy at 0 K: 67 meV/atom
# * M_tot: 0.000 μB per atom
# * relative energy among the computed polymorphs: 0 meV/atom
data_La2Dy5Tm12
_cell_length_a 6.2165
_cell_length_b 12.0803
_cell_length_c 17.4252
_cell_angle_alpha 152.29
_cell_angle_beta 101.46
_cell_angle_gamma 80.56
_symmetry_space_group_name_H-M 'P 1'
_symmetry_Int_Tables_number 1
loop_
_symmetry_equiv_pos_as_xyz
'x,y,z'
loop_
_atom_site_label
_atom_site_type_symbol
_atom_site_fract_x
_atom_site_fract_y
_atom_site_fract_z
Tm1 Tm 0.7855 0.7371 0.9545
Tm2 Tm 0.1655 0.1209 0.2964
Tm3 Tm 0.6913 0.9087 0.2396
Dy1 Dy 0.7883 0.3134 0.8250
Dy2 Dy 0.6349 0.3217 0.3364
Dy3 Dy 0.3651 0.6783 0.6636
Tm4 Tm 0.1052 0.5307 0.3770
Dy4 Dy 0.2117 0.6866 0.1750
Tm5 Tm 0.8345 0.8791 0.7036
Tm6 Tm 0.4525 0.2455 0.5729
Tm7 Tm 0.5475 0.7545 0.4271
Tm8 Tm 0.8948 0.4693 0.6230
Dy5 Dy 0.0000 0.0000 0.5000
La1 La 0.2797 0.8804 0.9647
Tm9 Tm 0.3087 0.0913 0.7604
Tm10 Tm 0.2145 0.2629 0.0455
Tm11 Tm 0.7150 0.4642 0.0953
La2 La 0.7203 0.1196 0.0353
Tm12 Tm 0.2850 0.5358 0.9047

=====

[2]
# Mg2AuCl | the Alexandria database | PBE | optimized geometry
# * M_tot: 0.000 μB per atom
# * formation energy from raw total energies: -2.61 eV/f.u.
# * relative energy among the computed polymorphs: 199 meV/atom
data_Mg2AuCl
_cell_length_a 3.8061
_cell_length_b 4.0170
_cell_length_c 5.6140
_cell_angle_alpha 90.00
_cell_angle_beta 90.00
_cell_angle_gamma 90.00
_symmetry_space_group_name_H-M 'P 1'
_symmetry_Int_Tables_number 1
loop_
_symmetry_equiv_pos_as_xyz
'x,y,z'
loop_
_atom_site_label
_atom_site_type_symbol
_atom_site_fract_x
_atom_site_fract_y
_atom_site_fract_z
Cl1 Cl 0.5000 0.5000 0.8752
Au1 Au 0.0000 0.0000 0.3751
Mg1 Mg 0.0000 0.0000 0.8751
Mg2 Mg 0.5000 0.5000 0.3746

=====

[3]
# Pt2SeBr | the Alexandria database | PBE | optimized geometry
# * M_tot: 0.170 μB per atom
# * formation energy from raw total energies: 1.67 eV/f.u.
# * relative energy among the computed polymorphs: 630 meV/atom
data_Pt2SeBr
_cell_length_a 4.0922
_cell_length_b 4.0922
_cell_length_c 7.4500
_cell_angle_alpha 90.00
_cell_angle_beta 90.00
_cell_angle_gamma 129.12
_symmetry_space_group_name_H-M 'P 1'
_symmetry_Int_Tables_number 1
loop_
_symmetry_equiv_pos_as_xyz
'x,y,z'
loop_
_atom_site_label
_atom_site_type_symbol
_atom_site_fract_x
_atom_site_fract_y
_atom_site_fract_z
Br1 Br 0.5000 0.5000 0.7500
Pt1 Pt 0.0000 0.0000 0.4777
Pt2 Pt 0.0000 0.0000 0.0223
Se1 Se 0.5000 0.5000 0.2500

=====

[4]
# Pm3U2Se6 | the Alexandria database | PBE | optimized geometry
# * M_tot: 0.482 μB per atom
# * formation energy from raw total energies: -16.44 eV/f.u.
data_Pm3U2Se6
_cell_length_a 4.1319
_cell_length_b 4.1319
_cell_length_c 20.6820
_cell_angle_alpha 84.27
_cell_angle_beta 84.27
_cell_angle_gamma 60.00
_symmetry_space_group_name_H-M 'P 1'
_symmetry_Int_Tables_number 1
loop_
_symmetry_equiv_pos_as_xyz
'x,y,z'
loop_
_atom_site_label
_atom_site_type_symbol
_atom_site_fract_x
_atom_site_fract_y
_atom_site_fract_z
Se1 Se 0.3617 0.3617 0.9150
Se2 Se 0.8039 0.8039 0.5882
U1 U 0.4459 0.4459 0.6624
Pm1 Pm 0.2763 0.2763 0.1712
Pm2 Pm 0.0000 0.0000 0.0000
U2 U 0.5541 0.5541 0.3376
Pm3 Pm 0.7237 0.7237 0.8288
Se3 Se 0.6383 0.6383 0.0850
Se4 Se 0.0853 0.0853 0.7442
Se5 Se 0.9147 0.9147 0.2558
Se6 Se 0.1961 0.1961 0.4118

=====

[5]
# BiHS2 | the Alexandria database | PBE | optimized geometry
# * M_tot: 0.000 μB per atom
# * relative energy among the computed polymorphs: 0 meV/atom
data_BiHS2
_cell_length_a 4.1609
_cell_length_b 7.9404
_cell_length_c 6.8917
_cell_angle_alpha 106.54
_cell_angle_beta 90.00
_cell_angle_gamma 90.00
_symmetry_space_group_name_H-M 'P 1'
_symmetry_Int_Tables_number 1
loop_
_symmetry_equiv_pos_as_xyz
'x,y,z'
loop_
_atom_site_label
_atom_site_type_symbol
_atom_site_fract_x
_atom_site_fract_y
_atom_site_fract_z
S1 S 0.2500 0.3397 0.3179
H1 H 0.7500 0.7868 0.8626
S2 S 0.7500 0.9130 0.2627
Bi1 Bi 0.2500 0.7858 0.4672
S3 S 0.2500 0.0870 0.7373
Bi2 Bi 0.7500 0.2142 0.5328
H2 H 0.2500 0.2132 0.1374
S4 S 0.7500 0.6603 0.6821

=====

[6]
# Ac2Zn5Ga | the Alexandria database | PBE | optimized geometry
# * formation enthalpy at 0 K: -354 meV/atom
# * M_tot: 0.000 μB per atom
data_Ac2Zn5Ga
_cell_length_a 4.6853
_cell_length_b 8.7785
_cell_length_c 9.1550
_cell_angle_alpha 90.00
_cell_angle_beta 90.00
_cell_angle_gamma 105.48
_symmetry_space_group_name_H-M 'P 1'
_symmetry_Int_Tables_number 1
loop_
_symmetry_equiv_pos_as_xyz
'x,y,z'
loop_
_atom_site_label
_atom_site_type_symbol
_atom_site_fract_x
_atom_site_fract_y
_atom_site_fract_z
Ac1 Ac 0.0000 0.0000 0.5000
Zn1 Zn 0.3507 0.7015 0.9838
Zn2 Zn 0.6493 0.2985 0.0162
Zn3 Zn 0.6493 0.2985 0.4838
Ga1 Ga 0.5612 0.1223 0.2500
Zn4 Zn 0.4092 0.8183 0.2500
Zn5 Zn 0.8173 0.6345 0.3922
Zn6 Zn 0.1827 0.3655 0.6078
Ga2 Ga 0.4388 0.8777 0.7500
Zn7 Zn 0.8173 0.6345 0.1078
Zn8 Zn 0.1827 0.3655 0.8922
Ac2 Ac 0.0000 0.0000 0.0000
Ac3 Ac 0.7906 0.5811 0.7500
Zn9 Zn 0.3507 0.7015 0.5162
Zn10 Zn 0.5908 0.1817 0.7500
Ac4 Ac 0.2094 0.4189 0.2500

=====

[7]
# Li2BH | the Alexandria database | PBE | optimized geometry
# * M_tot: 0.000 μB per atom
# * relative energy among the computed polymorphs: 209 meV/atom
data_Li2BH
_cell_length_a 3.8030
_cell_length_b 3.8030
_cell_length_c 3.8030
_cell_angle_alpha 60.00
_cell_angle_beta 60.00
_cell_angle_gamma 60.00
_symmetry_space_group_name_H-M 'P 1'
_symmetry_Int_Tables_number 1
loop_
_symmetry_equiv_pos_as_xyz
'x,y,z'
loop_
_atom_site_label
_atom_site_type_symbol
_atom_site_fract_x
_atom_site_fract_y
_atom_site_fract_z
B1 B 0.5000 0.5000 0.5000
Li1 Li 0.2500 0.2500 0.2500
H1 H 0.0000 0.0000 0.0000
Li2 Li 0.7500 0.7500 0.7500

=====

[8]
# Ag4PdF8 | the Alexandria database | PBE | optimized geometry
# * M_tot: 0.000 μB per atom
# * formation energy from raw total energies: -13.92 eV/f.u.
data_Ag4PdF8
_cell_length_a 7.7375
_cell_length_b 6.8238
_cell_length_c 7.1923
_cell_angle_alpha 109.04
_cell_angle_beta 57.45
_cell_angle_gamma 127.24
_symmetry_space_group_name_H-M 'P 1'
_symmetry_Int_Tables_number 1
loop_
_symmetry_equiv_pos_as_xyz
'x,y,z'
loop_
_atom_site_label
_atom_site_type_symbol
_atom_site_fract_x
_atom_site_fract_y
_atom_site_fract_z
F1 F 0.8876 0.7848 0.2247
Ag1 Ag 0.0000 0.0000 0.5000
F2 F 0.3351 0.2596 0.2460
Pd1 Pd 0.0000 0.0000 0.0000
F3 F 0.1124 0.2152 0.7753
Ag2 Ag 0.0000 0.5000 0.0000
F4 F 0.6649 0.7404 0.7540
F5 F 0.4182 0.7405 0.2459
F6 F 0.1128 0.7848 0.7756
F7 F 0.8872 0.2152 0.2244
Ag3 Ag 0.5000 0.0000 0.5000
Ag4 Ag 0.5000 0.5000 0.0000
F8 F 0.5818 0.2595 0.7541